# GGA-PBE Tb2CeYN4, optimized geometry
data_Tb2CeYN4
_cell_length_a 6.067
_cell_length_b 3.513
_cell_length_c 6.068
_cell_angle_alpha 90.00
_cell_angle_beta 109.31
_cell_angle_gamma 90.00
_space_group_name_H-M_alt 'P 1 2/m 1'
_space_group_IT_number 10
_space_group_name_Hall '-P 2y'
loop_
_atom_site_label
_atom_site_type_symbol
_atom_site_fract_x
_atom_site_fract_y
_atom_site_fract_z
Tb1 Tb 0.000 0.000 0.000
Tb2 Tb 0.500 0.500 0.000
Ce1 Ce 0.000 0.500 0.500
Y1 Y 0.500 0.000 0.500
N1 N 0.248 0.500 0.253
N2 N 0.249 0.000 0.748
# Raw formation energy ... -1632 meV/atom
# Calculated volume ... 15.26 A^3/atom
# ρ ... 8.20 g/cm³